Entry 1:
CsNbZnO4: relaxed, PBE.

Results
Energy relative to the elements, uncorrected: -2.056 eV/atom
Calculated total energy: -6.63 eV/atom
Density of states at the Fermi level: 0.0 states/eV per cell
Total magnetic moment: 0.00 μB/cell

Unit cell a=5.620 b=5.850 c=9.814 alpha=90.00 beta=100.31 gamma=90.00
Positions (direct):
Cs (0.222, 0.250, 0.343)
Cs (0.778, 0.750, 0.657)
Nb (0.253, 0.250, 0.802)
Nb (0.747, 0.750, 0.198)
Zn (0.143, 0.750, 0.026)
Zn (0.857, 0.250, 0.974)
O (0.119, 0.250, 0.620)
O (0.123, 0.000, 0.889)
O (0.123, 0.500, 0.889)
O (0.406, 0.750, 0.181)
O (0.594, 0.250, 0.819)
O (0.877, 0.000, 0.111)
O (0.877, 0.500, 0.111)
O (0.881, 0.750, 0.380)

***

Entry 2:
Cs2NbZn2O6: relaxed, PBE.

Results
Energy relative to the elements, uncorrected: -1.674 eV/atom
Calculated total energy: -5.68 eV/atom
Density of states at the Fermi level: 6.4 states/eV per cell
Total magnetic moment: 1.08 μB/cell

Unit cell a=7.232 b=7.232 c=7.232 alpha=49.48 beta=49.48 gamma=49.48
Positions (direct):
Cs (0.211, 0.211, 0.211)
Cs (0.789, 0.789, 0.789)
Nb (0.000, 0.000, 0.000)
Zn (0.394, 0.394, 0.394)
Zn (0.606, 0.606, 0.606)
O (0.218, 0.218, 0.755)
O (0.218, 0.755, 0.218)
O (0.245, 0.782, 0.782)
O (0.755, 0.218, 0.218)
O (0.782, 0.245, 0.782)
O (0.782, 0.782, 0.245)